Below is an optimized crystal structure of Li2SnO, with properties calculated at the PBE level.

Output
crystal system: tetragonal
energy relative to the elements, uncorrected: -0.996 eV/atom
energy relative to the lowest polymorph listed for this composition: 0 meV/atom
spin magnetization: 0.0 μB per formula unit

a b c (Å): 5.7331 5.7331 8.1154
angles (deg): 90.00 90.00 90.00
Closest atoms and distances in Å follow each position.
Positions (direct):
Li 0.0089 0.2500 0.1250  2 O 1.76
Li 0.2500 0.5089 0.3750  2 O 1.76
Li 0.2500 0.9911 0.8750  2 O 1.76
Li 0.4911 0.2500 0.6250  2 O 1.76
Li 0.5089 0.7500 0.6250  2 O 1.76
Li 0.7500 0.0089 0.8750  2 O 1.76
Li 0.7500 0.4911 0.3750  2 O 1.76
Li 0.9911 0.7500 0.1250  2 O 1.76
Sn 0.0000 0.0000 0.5000  12 Li 3.32-3.41, 4 O 3.51, 4 Sn 3.51
Sn 0.0000 0.5000 0.7500  12 Li 3.32-3.41, 4 O 3.51, 4 Sn 3.51
Sn 0.5000 0.0000 0.2500  12 Li 3.32-3.41, 4 O 3.51, 4 Sn 3.51
Sn 0.5000 0.5000 0.0000  12 Li 3.32-3.41, 4 O 3.51, 4 Sn 3.51
O 0.0000 0.0000 0.0000  4 Li 1.76
O 0.0000 0.5000 0.2500  4 Li 1.76
O 0.5000 0.0000 0.7500  4 Li 1.76
O 0.5000 0.5000 0.5000  4 Li 1.76